[1]
Here is crystalline BaMgSeN2 at its relaxed geometry from Alexandria via LeMat-Bulk. Energies are from PBEsol.

Cell and atoms, written as POSCAR:
```
BaMgSeN2
1.0
-3.576 2.629 -0.296
-1.686 -2.648 -3.151
-2.331 -2.769 3.575
Mg Ba Se N
1 1 1 2
Direct
0.000 0.000 0.000
0.500 0.500 0.500
0.000 0.000 0.500
0.000 0.500 0.000
0.500 0.000 0.000
```

Computed properties:
Formation energy from raw total energies, eV/atom: 0.234



[2]
Here is crystalline Li4Co3O3F4 at its relaxed geometry from Alexandria via LeMat-Bulk. Energies are from PBEsol.

Cell and atoms, written as POSCAR:
```
Li4Co3O3F4
1.0
2.863 0.000 0.000
0.000 2.863 0.000
-1.432 -1.432 14.634
Li Co O F
4 3 3 4
Direct
0.853 0.853 0.706
0.284 0.284 0.567
0.716 0.716 0.433
0.147 0.147 0.294
0.572 0.572 0.143
0.000 0.000 0.000
0.428 0.428 0.857
0.075 0.075 0.151
0.500 0.500 0.000
0.925 0.925 0.849
0.351 0.351 0.703
0.784 0.784 0.568
0.216 0.216 0.432
0.649 0.649 0.297
```

Computed properties:
Formation energy from raw total energies, eV/atom: -1.889



[3]
Here is crystalline Zr3AgN at its relaxed geometry from Alexandria via LeMat-Bulk. Energies are from PBEsol.

Cell and atoms, written as POSCAR:
```
Zr3AgN
1.0
4.428 0.000 0.000
0.000 4.428 0.000
0.000 0.000 4.428
Zr Ag N
3 1 1
Direct
0.000 0.500 0.000
0.000 0.000 0.500
0.500 0.000 0.000
0.500 0.500 0.500
0.000 0.000 0.000
```

Computed properties:
Formation energy from raw total energies, eV/atom: -0.865



[4]
Here is crystalline Ti4NiP4O20 at its relaxed geometry from Alexandria via LeMat-Bulk. Energies are from PBEsol.

Cell and atoms, written as POSCAR:
```
Ti4NiP4O20
1.0
7.120 0.000 0.000
0.000 7.367 0.047
0.000 0.174 12.875
Ti Ni P O
8 2 8 40
Direct
0.775 0.361 0.367
0.760 0.887 0.382
0.240 0.113 0.618
0.225 0.639 0.633
0.740 0.387 0.882
0.725 0.861 0.867
0.275 0.139 0.133
0.260 0.613 0.118
0.500 0.500 0.500
0.000 0.000 0.000
0.372 0.126 0.380
0.140 0.631 0.369
0.860 0.369 0.631
0.628 0.874 0.620
0.360 0.131 0.869
0.128 0.626 0.880
0.872 0.374 0.120
0.640 0.869 0.131
0.260 0.125 0.277
0.251 0.641 0.269
0.827 0.124 0.379
0.020 0.454 0.377
0.654 0.605 0.405
0.498 0.958 0.383
0.493 0.304 0.384
0.010 0.794 0.380
0.233 0.127 0.469
0.276 0.635 0.465
0.724 0.365 0.535
0.767 0.873 0.531
0.990 0.206 0.620
0.507 0.696 0.616
0.502 0.042 0.617
0.346 0.395 0.595
0.980 0.546 0.623
0.173 0.876 0.621
0.749 0.359 0.731
0.740 0.875 0.723
0.249 0.141 0.769
0.240 0.625 0.777
0.846 0.105 0.905
0.002 0.458 0.883
0.673 0.624 0.879
0.480 0.954 0.877
0.490 0.294 0.880
0.007 0.804 0.884
0.224 0.135 0.965
0.267 0.627 0.969
0.733 0.373 0.031
0.776 0.865 0.035
0.993 0.196 0.116
0.510 0.706 0.120
0.520 0.046 0.123
0.327 0.376 0.121
0.998 0.542 0.117
0.154 0.895 0.095
0.760 0.375 0.223
0.751 0.859 0.231
```

Computed properties:
Formation energy from raw total energies, eV/atom: -2.374



[5]
Here is crystalline CdIO3 at its relaxed geometry from Alexandria via LeMat-Bulk. Energies are from PBEsol.

Cell and atoms, written as POSCAR:
```
CdIO3
1.0
-0.984 3.579 1.859
-1.609 -2.103 3.197
3.698 0.037 1.885
I O Cd
1 3 1
Direct
0.500 0.500 0.500
0.000 0.500 0.000
0.000 0.000 0.500
0.500 0.000 0.000
0.000 0.000 0.000
```

Computed properties:
Formation energy from raw total energies, eV/atom: 0.363



[6]
Here is crystalline CdP2SO at its relaxed geometry from Alexandria via LeMat-Bulk. Energies are from PBEsol.

Cell and atoms, written as POSCAR:
```
CdP2SO
1.0
3.763 0.000 0.000
0.000 3.763 0.000
0.000 0.000 6.457
P S O Cd
2 1 1 1
Direct
0.000 0.500 0.000
0.500 0.000 0.000
0.000 0.000 0.500
0.000 0.000 0.000
0.500 0.500 0.500
```

Computed properties:
Formation energy from raw total energies, eV/atom: 0.338